Compound: DyThHg2
Source: Alexandria via LeMat-Bulk
Functional: PBE
Structure: relaxed

Cell and atoms, written as POSCAR:
```
DyThHg2
1.0
3.6509 0.0000 0.0000
-1.8254 3.1618 0.0000
0.0000 0.0000 29.4981
Dy Th Hg
3 3 6
Direct
0.0000 0.0000 0.0000
0.3333 0.6667 0.6667
0.6667 0.3333 0.3333
0.0000 0.0000 0.5000
0.3333 0.6667 0.1667
0.6667 0.3333 0.8333
0.0000 0.0000 0.2546
0.0000 0.0000 0.7454
0.3333 0.6667 0.4121
0.3333 0.6667 0.9213
0.6667 0.3333 0.0787
0.6667 0.3333 0.5879
```

Computed properties:
offset from the most stable computed form	0.118	eV/atom
magnetic moment	0.00	μB per formula unit
crystal system	trigonal
E_tot	-3.3796	eV/atom
formation enthalpy at 0 K	-0.9	eV/f.u.
Fermi-level density of states	4.3	states/eV/f.u.